Material: NaGe2Br5
Method: DFT, PBE-GGA
State: relaxed

```
NaGe2Br5
1.0
-5.787 3.735 1.978
-6.362 -6.493 -6.350
0.947 -5.647 13.436
Br Ge Na
20 8 4
direct
0.675 0.139 0.067
0.250 0.310 0.034
0.705 0.279 0.362
0.698 0.926 0.311
0.250 0.310 0.534
0.175 0.861 0.433
0.302 0.074 0.689
0.825 0.139 0.567
0.173 0.488 0.324
0.205 0.721 0.138
0.827 0.512 0.676
0.295 0.721 0.638
0.750 0.690 0.966
0.802 0.926 0.811
0.198 0.074 0.189
0.795 0.279 0.862
0.673 0.512 0.176
0.325 0.861 0.933
0.750 0.690 0.466
0.327 0.488 0.824
0.562 0.664 0.814
0.924 0.115 0.386
0.424 0.885 0.114
0.438 0.336 0.186
0.576 0.115 0.886
0.938 0.664 0.314
0.062 0.336 0.686
0.076 0.885 0.614
0.500 0.500 0.500
0.000 0.000 0.000
0.000 0.500 0.000
0.500 0.000 0.500
```

Summary:
formation energy (no corrections): -0.77 eV per atom
energy: -3.14 eV/atom
V: 1092.4 Å³/cell

Material: NaGe2Br8
Method: DFT, PBE-GGA
State: relaxed

```
NaGe2Br8
1.0
-1.030 -5.812 3.306
5.855 -4.748 -3.856
6.441 0.457 5.477
Na Br Ge
1 8 2
direct
0.000 0.000 0.000
0.669 0.205 0.205
0.226 0.937 0.292
0.774 0.708 0.063
0.226 0.292 0.937
0.869 0.615 0.615
0.131 0.385 0.385
0.774 0.063 0.708
0.331 0.795 0.795
0.313 0.210 0.210
0.687 0.790 0.790
```

Summary:
formation energy (no corrections): -0.69 eV per atom
energy: -2.86 eV/atom
V: 465.7 Å³/cell

> The lowest formation energy (no corrections) belongs to which entry?

NaGe2Br5

> What is the V in the second record?

465.7 Å³/cell